# 1
A relaxed TmSi3IrRh crystal, computed with PBE.

Calculated values
Formation energy without anion corrections   -0.581 eV/atom
Size of the total moment   0.00 μB per atom

Cell and atoms, written as POSCAR:
```
TmSi3IrRh
1.0
3.134 -6.755 0.000
3.134 6.755 0.000
0.000 0.000 5.470
Tm Si Ir Rh
2 6 2 2
Direct
0.179 0.821 0.750
0.821 0.179 0.250
0.224 0.776 0.250
0.292 0.292 0.000
0.292 0.292 0.500
0.708 0.708 0.000
0.708 0.708 0.500
0.776 0.224 0.750
0.390 0.610 0.250
0.610 0.390 0.750
0.057 0.943 0.250
0.943 0.057 0.750
```


# 2
A relaxed Tm2Si4Ir3Rh crystal, computed with PBE.

Calculated values
Formation energy without anion corrections   -1.057 eV/atom
Size of the total moment   0.00 μB per atom

Cell and atoms, written as POSCAR:
```
Tm2Si4Ir3Rh
1.0
4.104 0.000 0.000
0.000 4.104 0.000
0.000 0.000 9.853
Tm Si Ir Rh
2 4 3 1
Direct
0.000 0.500 0.246
0.500 0.000 0.754
0.000 0.000 0.000
0.000 0.500 0.631
0.500 0.000 0.369
0.500 0.500 0.000
0.000 0.500 0.870
0.500 0.000 0.130
0.500 0.500 0.500
0.000 0.000 0.500
```


# 3
A relaxed U2Si6IrRh crystal, computed with PBE.

Calculated values
Formation energy without anion corrections   -0.300 eV/atom
Size of the total moment   0.57 μB per atom

Cell and atoms, written as POSCAR:
```
U2Si6IrRh
1.0
2.911 1.681 12.410
-2.911 1.681 12.410
0.000 -3.361 12.410
U Si Ir Rh
4 12 2 2
Direct
0.128 0.128 0.128
0.278 0.278 0.278
0.722 0.722 0.722
0.872 0.872 0.872
0.064 0.661 0.661
0.192 0.192 0.777
0.192 0.777 0.192
0.223 0.808 0.808
0.339 0.339 0.936
0.339 0.936 0.339
0.661 0.064 0.661
0.661 0.661 0.064
0.777 0.192 0.192
0.808 0.223 0.808
0.808 0.808 0.223
0.936 0.339 0.339
0.423 0.423 0.423
0.577 0.577 0.577
0.000 0.000 0.000
0.500 0.500 0.500
```


# 4
A relaxed USi2IrRh2 crystal, computed with PBE.

Calculated values
Formation energy without anion corrections   -0.119 eV/atom
Size of the total moment   0.34 μB per atom

Cell and atoms, written as POSCAR:
```
USi2IrRh2
1.0
4.514 0.000 0.000
0.000 4.514 0.000
0.000 0.000 5.421
U Si Ir Rh
1 2 1 2
Direct
0.000 0.000 0.000
0.000 0.500 0.500
0.500 0.000 0.500
0.000 0.000 0.500
0.500 0.500 0.245
0.500 0.500 0.755
```


# 5
A relaxed U2Si3Ir4Rh crystal, computed with PBE.

Calculated values
Formation energy without anion corrections   -0.677 eV/atom
Size of the total moment   0.00 μB per atom

Cell and atoms, written as POSCAR:
```
U2Si3Ir4Rh
1.0
3.916 0.000 0.000
0.000 3.916 0.000
0.000 0.000 10.985
U Si Ir Rh
2 3 4 1
Direct
0.000 0.500 0.245
0.500 0.000 0.755
0.000 0.000 0.000
0.000 0.500 0.621
0.500 0.000 0.379
0.000 0.000 0.500
0.000 0.500 0.833
0.500 0.000 0.167
0.500 0.500 0.500
0.500 0.500 0.000
```


# 6
A relaxed Y2Si4Ir3Rh crystal, computed with PBE.

Calculated values
Formation energy without anion corrections   -1.073 eV/atom
Size of the total moment   0.00 μB per atom

Cell and atoms, written as POSCAR:
```
Y2Si4Ir3Rh
1.0
4.137 0.000 0.000
0.000 4.137 0.000
0.000 0.000 9.843
Y Si Ir Rh
2 4 3 1
Direct
0.000 0.500 0.245
0.500 0.000 0.755
0.000 0.000 0.000
0.000 0.500 0.630
0.500 0.000 0.370
0.500 0.500 0.000
0.000 0.500 0.872
0.500 0.000 0.128
0.500 0.500 0.500
0.000 0.000 0.500
```


# 7
A relaxed Zr2Si4Ir3Rh crystal, computed with PBE.

Calculated values
Formation energy without anion corrections   -0.935 eV/atom
Size of the total moment   0.00 μB per atom

Cell and atoms, written as POSCAR:
```
Zr2Si4Ir3Rh
1.0
4.044 0.000 0.000
0.000 4.044 0.000
0.000 0.000 9.766
Zr Si Ir Rh
2 4 3 1
Direct
0.000 0.500 0.248
0.500 0.000 0.752
0.000 0.000 0.000
0.000 0.500 0.634
0.500 0.000 0.366
0.500 0.500 0.000
0.000 0.500 0.871
0.500 0.000 0.129
0.500 0.500 0.500
0.000 0.000 0.500
```


# 8
A relaxed SmIrRh2 crystal, computed with PBE.

Calculated values
Formation enthalpy at 0 K   -195 kJ/mol of formula units
Size of the total moment   0.00 μB per atom

Cell and atoms, written as POSCAR:
```
SmIrRh2
1.0
2.659 1.535 8.835
-2.659 1.535 8.835
0.000 -3.070 8.835
Sm Ir Rh
3 3 6
Direct
0.000 0.000 0.000
0.139 0.139 0.139
0.861 0.861 0.861
0.333 0.333 0.333
0.500 0.500 0.500
0.667 0.667 0.667
0.084 0.581 0.581
0.419 0.419 0.916
0.419 0.916 0.419
0.581 0.084 0.581
0.581 0.581 0.084
0.916 0.419 0.419
```


# 9
A relaxed SmIrRh2 crystal, computed with PBE.

Calculated values
Formation enthalpy at 0 K   -5 kJ/mol of formula units
Size of the total moment   0.00 μB per atom

Cell and atoms, written as POSCAR:
```
SmIrRh2
1.0
5.355 0.000 0.000
0.000 6.351 0.000
0.000 0.000 4.591
Sm Ir Rh
2 2 4
Direct
0.000 0.000 0.000
0.500 0.500 0.000
0.000 0.500 0.000
0.500 0.000 0.000
0.000 0.301 0.500
0.000 0.699 0.500
0.500 0.199 0.500
0.500 0.801 0.500
```


# 10
A relaxed Sm8Ir2Rh crystal, computed with PBE.

Calculated values
Formation enthalpy at 0 K   -467 kJ/mol of formula units
Size of the total moment   0.00 μB per atom

Cell and atoms, written as POSCAR:
```
Sm8Ir2Rh
1.0
8.866 -2.482 0.000
8.866 2.482 0.000
-1.786 0.000 6.731
Sm Ir Rh
8 2 1
Direct
0.031 0.031 0.287
0.204 0.204 0.817
0.332 0.332 0.532
0.406 0.406 0.044
0.594 0.594 0.956
0.668 0.668 0.468
0.796 0.796 0.183
0.969 0.969 0.713
0.190 0.190 0.214
0.810 0.810 0.786
0.500 0.500 0.500
```


# 11
A relaxed Sm3IrRh8 crystal, computed with PBE.

Calculated values
Formation enthalpy at 0 K   -479 kJ/mol of formula units
Size of the total moment   0.00 μB per atom

Cell and atoms, written as POSCAR:
```
Sm3IrRh8
1.0
2.662 1.537 8.737
-2.662 1.537 8.737
0.000 -3.074 8.737
Sm Ir Rh
3 1 8
Direct
0.000 0.000 0.000
0.131 0.131 0.131
0.611 0.611 0.611
0.482 0.482 0.482
0.062 0.062 0.561
0.062 0.561 0.062
0.063 0.565 0.565
0.313 0.313 0.313
0.561 0.062 0.062
0.565 0.063 0.565
0.565 0.565 0.063
0.814 0.814 0.814
```


# 12
A relaxed Sm8Ir2Rh crystal, computed with PBE.

Calculated values
Formation enthalpy at 0 K   -418 kJ/mol of formula units
Size of the total moment   0.00 μB per atom

Cell and atoms, written as POSCAR:
```
Sm8Ir2Rh
1.0
4.218 -6.329 0.000
4.218 6.329 0.000
-2.117 0.000 5.881
Sm Ir Rh
8 2 1
Direct
0.000 0.000 0.000
0.016 0.278 0.588
0.151 0.569 0.190
0.278 0.016 0.588
0.438 0.700 0.805
0.569 0.151 0.190
0.700 0.438 0.805
0.716 0.716 0.380
0.043 0.669 0.690
0.669 0.043 0.690
0.356 0.356 0.022
```


# 13
A relaxed SmIrRh crystal, computed with PBE.

Calculated values
Formation enthalpy at 0 K   -208 kJ/mol of formula units
Size of the total moment   0.00 μB per atom

Cell and atoms, written as POSCAR:
```
SmIrRh
1.0
5.374 0.000 0.000
0.000 5.408 0.000
0.000 0.000 7.661
Sm Ir Rh
4 4 4
Direct
0.000 0.250 0.123
0.000 0.750 0.877
0.500 0.250 0.377
0.500 0.750 0.623
0.250 0.250 0.750
0.250 0.750 0.250
0.750 0.250 0.750
0.750 0.750 0.250
0.000 0.000 0.500
0.000 0.500 0.500
0.500 0.000 0.000
0.500 0.500 0.000
```


# 14
A relaxed SmIr2Rh2 crystal, computed with PBE.

Calculated values
Formation enthalpy at 0 K   -88 kJ/mol of formula units
Size of the total moment   0.00 μB per atom

Cell and atoms, written as POSCAR:
```
SmIr2Rh2
1.0
-2.019 2.019 11.327
2.019 -2.019 11.327
2.019 2.019 -11.327
Sm Ir Rh
2 4 4
Direct
0.121 0.121 0.000
0.879 0.879 0.000
0.250 0.750 0.500
0.427 0.427 0.000
0.573 0.573 0.000
0.750 0.250 0.500
0.000 0.500 0.500
0.322 0.322 0.000
0.500 0.000 0.500
0.678 0.678 0.000
```


# 15
A relaxed Sm3IrRh2 crystal, computed with PBE.

Calculated values
Formation enthalpy at 0 K   -412 kJ/mol of formula units
Size of the total moment   0.00 μB per atom

Cell and atoms, written as POSCAR:
```
Sm3IrRh2
1.0
4.954 0.000 0.000
-2.477 4.290 0.000
0.000 0.000 12.114
Sm Ir Rh
6 2 4
Direct
0.000 0.000 0.249
0.000 0.000 0.751
0.333 0.667 0.416
0.333 0.667 0.917
0.667 0.333 0.083
0.667 0.333 0.584
0.333 0.667 0.166
0.667 0.333 0.834
0.000 0.000 0.000
0.000 0.000 0.500
0.333 0.667 0.664
0.667 0.333 0.336
```


# 16
A relaxed Sm4IrRh3 crystal, computed with PBE.

Calculated values
Formation enthalpy at 0 K   -555 kJ/mol of formula units
Size of the total moment   0.00 μB per atom

Cell and atoms, written as POSCAR:
```
Sm4IrRh3
1.0
3.911 0.000 0.000
0.000 4.242 0.000
0.000 0.000 10.827
Sm Ir Rh
4 1 3
Direct
0.000 0.000 0.000
0.000 0.500 0.284
0.500 0.000 0.498
0.500 0.500 0.783
0.500 0.000 0.223
0.000 0.000 0.726
0.000 0.500 0.558
0.500 0.500 0.056
```


# 17
A relaxed Sm4IrRh2 crystal, computed with PBE.

Calculated values
Formation enthalpy at 0 K   -437 kJ/mol of formula units
Size of the total moment   0.00 μB per atom

Cell and atoms, written as POSCAR:
```
Sm4IrRh2
1.0
2.456 1.418 8.112
-2.456 1.418 8.112
0.000 -2.836 8.112
Sm Ir Rh
4 1 2
Direct
0.124 0.124 0.124
0.375 0.375 0.375
0.625 0.625 0.625
0.876 0.876 0.876
0.000 0.000 0.000
0.250 0.250 0.250
0.750 0.750 0.750
```


# 18
A relaxed Sm2IrRh3 crystal, computed with PBE.

Calculated values
Formation enthalpy at 0 K   -393 kJ/mol of formula units
Size of the total moment   0.00 μB per atom

Cell and atoms, written as POSCAR:
```
Sm2IrRh3
1.0
5.392 0.000 0.000
-2.696 4.669 0.000
0.000 0.000 8.809
Sm Ir Rh
4 2 6
Direct
0.333 0.667 0.066
0.333 0.667 0.434
0.667 0.333 0.566
0.667 0.333 0.934
0.000 0.000 0.000
0.000 0.000 0.500
0.168 0.336 0.750
0.168 0.832 0.750
0.336 0.168 0.250
0.664 0.832 0.750
0.832 0.168 0.250
0.832 0.664 0.250
```


# 19
A relaxed Sm8IrRh5 crystal, computed with PBE.

Calculated values
Formation enthalpy at 0 K   -907 kJ/mol of formula units
Size of the total moment   0.00 μB per atom

Cell and atoms, written as POSCAR:
```
Sm8IrRh5
1.0
-4.383 4.383 4.377
4.383 -4.383 4.377
4.383 4.383 -4.377
Sm Ir Rh
8 1 5
Direct
0.004 0.377 0.249
0.123 0.252 0.752
0.127 0.755 0.751
0.245 0.996 0.373
0.499 0.371 0.248
0.623 0.873 0.627
0.629 0.877 0.129
0.748 0.501 0.871
0.000 0.000 0.000
0.254 0.628 0.126
0.372 0.499 0.627
0.501 0.128 0.874
0.750 0.250 0.500
0.872 0.746 0.373
```


# 20
A relaxed Sm5Ir2Rh crystal, computed with PBE.

Calculated values
Formation enthalpy at 0 K   -481 kJ/mol of formula units
Size of the total moment   0.00 μB per atom

Cell and atoms, written as POSCAR:
```
Sm5Ir2Rh
1.0
-3.807 3.807 6.977
3.807 -3.807 6.977
3.807 3.807 -6.977
Sm Ir Rh
10 4 2
Direct
0.000 0.000 0.000
0.031 0.531 0.844
0.187 0.031 0.500
0.313 0.813 0.844
0.469 0.313 0.500
0.500 0.500 0.000
0.531 0.687 0.500
0.687 0.187 0.156
0.813 0.969 0.500
0.969 0.469 0.156
0.130 0.370 0.500
0.370 0.870 0.240
0.630 0.130 0.760
0.870 0.630 0.500
0.250 0.250 0.000
0.750 0.750 0.000
```